A geometry-optimized Be2CrRh3 structure. Source: the Alexandria database, functional PBE-GGA.

Computed properties:
VASP energy = -41.81 eV per cell
Space-group type = P4/mmm, No. 123
Formation energy = -0.45 eV per atom

Cell and atoms, written as CIF:
```
data_Be2CrRh3
_chemical_formula_sum 'Be2 Cr1 Rh3'
_space_group_name_H-M_alt 'P 1'
_space_group_IT_number 1
_space_group_name_Hall 'P 1'
_cell_length_a 2.782
_cell_length_b 2.782
_cell_length_c 8.919
_cell_angle_alpha 90.00
_cell_angle_beta 90.00
_cell_angle_gamma 90.00
loop_
_atom_site_label
_atom_site_type_symbol
_atom_site_fract_x
_atom_site_fract_y
_atom_site_fract_z
_atom_site_occupancy
Rh1 Rh 0.000 0.000 0.000 1
Rh2 Rh 0.000 0.000 0.314 1
Rh3 Rh 0.000 0.000 0.686 1
Cr1 Cr 0.500 0.500 0.500 1
Be1 Be 0.500 0.500 0.850 1
Be2 Be 0.500 0.500 0.150 1
```

A geometry-optimized BeCr2RhSe structure. Source: the Alexandria database, functional PBE-GGA.

Computed properties:
E_form (uncorrected) = 1104 meV per atom
VASP energy = -28.29 eV per cell
Space-group type = P4/mmm, No. 123

Cell and atoms, written as CIF:
```
data_BeCr2RhSe
_chemical_formula_sum 'Be1 Cr2 Rh1 Se1'
_space_group_name_H-M_alt 'P 1'
_space_group_IT_number 1
_space_group_name_Hall 'P 1'
_cell_length_a 4.318
_cell_length_b 4.525
_cell_length_c 4.318
_cell_angle_alpha 90.00
_cell_angle_beta 90.00
_cell_angle_gamma 90.00
loop_
_atom_site_label
_atom_site_type_symbol
_atom_site_fract_x
_atom_site_fract_y
_atom_site_fract_z
_atom_site_occupancy
Rh1 Rh 0.000 0.500 0.000 1
Be1 Be 0.500 0.500 0.500 1
Se1 Se 0.000 0.000 0.000 1
Cr1 Cr 0.000 0.000 0.500 1
Cr2 Cr 0.500 0.000 0.000 1
```